# 1
# Y6Zn2Hg | Alexandria | PBE | relaxed
data_Y6Zn2Hg
_chemical_formula_sum 'Y24 Zn8 Hg4'
_symmetry_space_group_name_H-M 'I m m m'
_symmetry_Int_Tables_number 71
_symmetry_space_group_name_Hall '-I 2 2'
_cell_length_a 9.780
_cell_length_b 9.902
_cell_length_c 10.123
_cell_angle_alpha 90.00
_cell_angle_beta 90.00
_cell_angle_gamma 90.00
loop_
_atom_site_label
_atom_site_fract_x
_atom_site_fract_y
_atom_site_fract_z
Y1 0.000 0.213 0.179
Y2 0.181 0.228 0.500
Y3 0.201 0.500 0.256
Zn1 0.000 0.000 0.375
Zn2 0.137 0.000 0.000
Hg1 0.000 0.500 0.000
Hg2 0.000 0.500 0.500
# Uncorrected energy: -4.89 eV/atom
# Calculated formation energy: -262.6 meV per atom
# Total magnetization: 0.0 μB/cell

***

# 2
# Y2ZnHg | Alexandria | PBE | relaxed
data_Y2ZnHg
_chemical_formula_sum 'Y4 Zn2 Hg2'
_symmetry_space_group_name_H-M 'I m m m'
_symmetry_Int_Tables_number 71
_symmetry_space_group_name_Hall '-I 2 2'
_cell_length_a 3.394
_cell_length_b 5.659
_cell_length_c 12.376
_cell_angle_alpha 90.00
_cell_angle_beta 90.00
_cell_angle_gamma 90.00
loop_
_atom_site_label
_atom_site_fract_x
_atom_site_fract_y
_atom_site_fract_z
Y1 0.000 0.000 0.240
Zn1 0.000 0.000 0.000
Hg1 0.000 0.000 0.500
# Energy relative to the lowest polymorph listed for this composition: 0.844 eV/atom
# Uncorrected energy: -3.22 eV/atom
# Calculated formation energy: 404.8 meV per atom
# Total magnetization: 0.0 μB/cell

***

# 3
# Y6ZnHg5 | Alexandria | PBE | relaxed
data_Y6ZnHg5
_chemical_formula_sum 'Y6 Zn1 Hg5'
_symmetry_space_group_name_H-M 'P 1 2/m 1'
_symmetry_Int_Tables_number 10
_cell_length_a 5.229
_cell_length_b 7.423
_cell_length_c 8.290
_cell_angle_alpha 90.00
_cell_angle_beta 108.16
_cell_angle_gamma 90.00
loop_
_symmetry_equiv_pos_as_xyz
'x,y,z'
'-x,-y,-z'
'-x,y,-z'
'x,-y,z'
loop_
_atom_site_label
_atom_site_fract_x
_atom_site_fract_y
_atom_site_fract_z
Y1 0.000 0.245 0.000
Y2 0.336 0.247 0.671
Zn1 0.500 0.000 0.000
Hg1 0.163 0.000 0.327
Hg2 0.166 0.500 0.333
Hg3 0.500 0.500 0.000
# Uncorrected energy: -3.95 eV/atom
# Calculated formation energy: -482.7 meV per atom
# Total magnetization: 0.0 μB/cell

***

# 4
# Y2ZnHg | Alexandria | PBE | relaxed
data_Y2ZnHg
_chemical_formula_sum 'Y2 Zn1 Hg1'
_symmetry_space_group_name_H-M 'P 1 2/m 1'
_symmetry_Int_Tables_number 10
_cell_length_a 3.639
_cell_length_b 3.618
_cell_length_c 7.406
_cell_angle_alpha 90.00
_cell_angle_beta 90.07
_cell_angle_gamma 90.00
loop_
_symmetry_equiv_pos_as_xyz
'x,y,z'
'-x,-y,-z'
'-x,y,-z'
'x,-y,z'
loop_
_atom_site_label
_atom_site_fract_x
_atom_site_fract_y
_atom_site_fract_z
Y1 0.000 0.000 0.235
Zn1 0.500 0.500 0.000
Hg1 0.500 0.500 0.500
# Energy relative to the lowest polymorph listed for this composition: 0.000 eV/atom
# Uncorrected energy: -4.07 eV/atom
# Calculated formation energy: -439.3 meV per atom
# Total magnetization: 0.0 μB/cell

***

# 5
# Y2ZnHg | Alexandria | PBE | relaxed
data_Y2ZnHg
_chemical_formula_sum 'Y4 Zn2 Hg2'
_symmetry_space_group_name_H-M 'I -4 m 2'
_symmetry_Int_Tables_number 119
_symmetry_space_group_name_Hall 'I -4 -2'
_cell_length_a 4.380
_cell_length_b 4.380
_cell_length_c 10.238
_cell_angle_alpha 90.00
_cell_angle_beta 90.00
_cell_angle_gamma 90.00
loop_
_atom_site_label
_atom_site_fract_x
_atom_site_fract_y
_atom_site_fract_z
Y1 0.000 0.000 0.000
Y2 0.000 0.500 0.250
Zn1 0.000 0.500 0.750
Hg1 0.000 0.000 0.500
# Energy relative to the lowest polymorph listed for this composition: 0.197 eV/atom
# Uncorrected energy: -3.87 eV/atom
# Calculated formation energy: -242.0 meV per atom
# Total magnetization: 0.0 μB/cell

***

# 6
# Y2ZnHg | Alexandria | PBE | relaxed
data_Y2ZnHg
_chemical_formula_sum 'Y8 Zn4 Hg4'
_symmetry_space_group_name_H-M 'F m -3 m'
_symmetry_Int_Tables_number 225
_symmetry_space_group_name_Hall '-F 4 2 3'
_cell_length_a 7.331
_cell_length_b 7.331
_cell_length_c 7.331
_cell_angle_alpha 90.00
_cell_angle_beta 90.00
_cell_angle_gamma 90.00
loop_
_atom_site_label
_atom_site_fract_x
_atom_site_fract_y
_atom_site_fract_z
Y1 0.250 0.250 0.250
Zn1 0.000 0.000 0.000
Hg1 0.000 0.000 0.500
# Energy relative to the lowest polymorph listed for this composition: 0.018 eV/atom
# Uncorrected energy: -4.05 eV/atom
# Calculated formation energy: -421.2 meV per atom
# Total magnetization: 0.0 μB/cell

***

# 7
# Y2Zn2Hg | Alexandria | PBE | relaxed
data_Y2Zn2Hg
_chemical_formula_sum 'Y4 Zn4 Hg2'
_symmetry_space_group_name_H-M 'P 4/m b m'
_symmetry_Int_Tables_number 127
_symmetry_space_group_name_Hall '-P 4 2ab'
_cell_length_a 7.331
_cell_length_b 7.331
_cell_length_c 4.228
_cell_angle_alpha 90.00
_cell_angle_beta 90.00
_cell_angle_gamma 90.00
loop_
_atom_site_label
_atom_site_fract_x
_atom_site_fract_y
_atom_site_fract_z
Y1 0.173 0.327 0.000
Zn1 0.124 0.624 0.500
Hg1 0.000 0.000 0.500
# Energy relative to the lowest polymorph listed for this composition: 0.000 eV/atom
# Uncorrected energy: -3.55 eV/atom
# Calculated formation energy: -393.1 meV per atom
# Total magnetization: 0.0 μB/cell

***

# 8
# Y3ZnHg2 | Alexandria | PBE | relaxed
data_Y3ZnHg2
_chemical_formula_sum 'Y6 Zn2 Hg4'
_symmetry_space_group_name_H-M 'P -3 m 1'
_symmetry_Int_Tables_number 164
_symmetry_space_group_name_Hall '-P 3 2"'
_cell_length_a 5.2012
_cell_length_b 5.2012
_cell_length_c 12.8189
_cell_angle_alpha 90.00
_cell_angle_beta 90.00
_cell_angle_gamma 120.00
loop_
_atom_site_label
_atom_site_fract_x
_atom_site_fract_y
_atom_site_fract_z
Y1 0.0000 0.0000 0.2450
Y2 0.3333 0.6667 0.4128
Y3 0.3333 0.6667 0.9182
Zn1 0.3333 0.6667 0.1661
Hg1 0.0000 0.0000 0.0000
Hg2 0.0000 0.0000 0.5000
Hg3 0.3333 0.6667 0.6726
# Energy relative to the lowest polymorph listed for this composition: 0.008 eV/atom
# Uncorrected energy: -4.00 eV/atom
# Calculated formation energy: -451.4 meV per atom
# Total magnetization: 0.0 μB/cell

***

# 9
# YZnHg2 | Alexandria | PBE | relaxed
data_YZnHg2
_chemical_formula_sum 'Y1 Zn1 Hg2'
_symmetry_space_group_name_H-M 'P 1 m 1'
_symmetry_Int_Tables_number 6
_cell_length_a 3.368
_cell_length_b 4.816
_cell_length_c 5.773
_cell_angle_alpha 90.00
_cell_angle_beta 90.29
_cell_angle_gamma 90.00
loop_
_symmetry_equiv_pos_as_xyz
'x,y,z'
'x,-y,z'
loop_
_atom_site_label
_atom_site_fract_x
_atom_site_fract_y
_atom_site_fract_z
Y1 0.000 0.000 0.000
Zn1 0.502 0.500 0.250
Hg1 0.497 0.500 0.771
Hg2 0.503 0.000 0.479
# Uncorrected energy: -2.31 eV/atom
# Calculated formation energy: -229.1 meV per atom
# Total magnetization: 0.0 μB/cell

***

# 10
# Y5Zn2Hg | Alexandria | PBE | relaxed
data_Y5Zn2Hg
_chemical_formula_sum 'Y20 Zn8 Hg4'
_symmetry_space_group_name_H-M 'I 4/m c m'
_symmetry_Int_Tables_number 140
_symmetry_space_group_name_Hall '-I 4 2c'
_cell_length_a 7.433
_cell_length_b 7.433
_cell_length_c 15.395
_cell_angle_alpha 90.00
_cell_angle_beta 90.00
_cell_angle_gamma 90.00
loop_
_atom_site_label
_atom_site_fract_x
_atom_site_fract_y
_atom_site_fract_z
Y1 0.000 0.000 0.000
Y2 0.170 0.330 0.148
Zn1 0.121 0.379 0.500
Hg1 0.000 0.000 0.250
# Uncorrected energy: -4.70 eV/atom
# Calculated formation energy: -302.3 meV per atom
# Total magnetization: 0.0 μB/cell

***

# 11
# Y2ZnHg | Alexandria | PBE | relaxed
data_Y2ZnHg
_chemical_formula_sum 'Y2 Zn1 Hg1'
_symmetry_space_group_name_H-M 'P 4 m m'
_symmetry_Int_Tables_number 99
_cell_length_a 3.940
_cell_length_b 3.940
_cell_length_c 6.615
_cell_angle_alpha 90.00
_cell_angle_beta 90.00
_cell_angle_gamma 90.00
loop_
_symmetry_equiv_pos_as_xyz
'x,y,z'
'-y,x,z'
'-x,-y,z'
'y,-x,z'
'-x,y,z'
'y,x,z'
'x,-y,z'
'-y,-x,z'
loop_
_atom_site_label
_atom_site_fract_x
_atom_site_fract_y
_atom_site_fract_z
Y1 0.000 0.000 0.000
Y2 0.500 0.500 0.323
Zn1 0.000 0.000 0.512
Hg1 0.500 0.500 0.785
# Energy relative to the lowest polymorph listed for this composition: 0.197 eV/atom
# Uncorrected energy: -3.87 eV/atom
# Calculated formation energy: -242.8 meV per atom
# Total magnetization: 0.4 μB/cell

***

# 12
# Y2Zn2Hg | Alexandria | PBE | relaxed
data_Y2Zn2Hg
_chemical_formula_sum 'Y4 Zn4 Hg2'
_symmetry_space_group_name_H-M 'I 4/m m m'
_symmetry_Int_Tables_number 139
_symmetry_space_group_name_Hall '-I 4 2'
_cell_length_a 3.630
_cell_length_b 3.630
_cell_length_c 18.277
_cell_angle_alpha 90.00
_cell_angle_beta 90.00
_cell_angle_gamma 90.00
loop_
_atom_site_label
_atom_site_fract_x
_atom_site_fract_y
_atom_site_fract_z
Y1 0.000 0.000 0.108
Zn1 0.000 0.500 0.250
Hg1 0.000 0.000 0.500
# Energy relative to the lowest polymorph listed for this composition: 0.221 eV/atom
# Uncorrected energy: -3.33 eV/atom
# Calculated formation energy: -171.8 meV per atom
# Total magnetization: 0.0 μB/cell

***

Q: Look up the total magnetization of the sixth one.
A: 0.0 μB/cell

***

Q: The lowest uncorrected energy belongs to which entry?
A: Y6Zn2Hg